1.
# Ta2SeCl, optimized geometry, DFT PBE-GGA
# Volume ... 88 Å³/f.u.
# Formation energy from raw total energies ... -0.573 eV per atom
# Density ... 9.0 g/cm3
# Uncorrected energy ... -7.832 eV per atom
# M_tot ... 0.000 μB per atom
data_Ta2SeCl
_cell_length_a 3.2774
_cell_length_b 3.2774
_cell_length_c 28.2845
_cell_angle_alpha 90.00
_cell_angle_beta 90.00
_cell_angle_gamma 120.00
_space_group_name_H-M_alt 'R 3 m'
_space_group_IT_number 160
_space_group_name_Hall 'R 3 -2"'
loop_
_atom_site_label
_atom_site_fract_x
_atom_site_fract_y
_atom_site_fract_z
Ta1 0.0000 0.0000 0.0000
Ta2 0.0000 0.0000 0.2549
Se1 0.0000 0.0000 0.5262
Cl1 0.0000 0.0000 0.7258

=====

2.
# TaSe2Cl, optimized geometry, DFT PBE-GGA
# Volume ... 128 Å³/f.u.
# Formation energy from raw total energies ... -0.715 eV per atom
# Density ... 4.9 g/cm3
# Uncorrected energy ... -5.882 eV per atom
# M_tot ... 0.000 μB per atom
data_TaSe2Cl
_cell_length_a 5.506
_cell_length_b 3.516
_cell_length_c 7.142
_cell_angle_alpha 90.00
_cell_angle_beta 112.48
_cell_angle_gamma 90.00
_space_group_name_H-M_alt 'P 1 m 1'
_space_group_IT_number 6
loop_
_space_group_symop_operation_xyz
'x,y,z'
'x,-y,z'
loop_
_atom_site_label
_atom_site_fract_x
_atom_site_fract_y
_atom_site_fract_z
Ta1 0.000 0.000 0.000
Se1 0.600 0.000 0.035
Se2 0.961 0.500 0.740
Cl1 0.227 0.500 0.267

=====

3.
# Ta2SeCl, optimized geometry, DFT PBE-GGA
# Volume ... 87 Å³/f.u.
# Formation energy from raw total energies ... -0.371 eV per atom
# Density ... 9.1 g/cm3
# Uncorrected energy ... -7.630 eV per atom
# M_tot ... 0.000 μB per atom
data_Ta2SeCl
_cell_length_a 3.070
_cell_length_b 3.070
_cell_length_c 9.189
_cell_angle_alpha 90.00
_cell_angle_beta 90.00
_cell_angle_gamma 90.00
_space_group_name_H-M_alt 'P 4 m m'
_space_group_IT_number 99
loop_
_space_group_symop_operation_xyz
'x,y,z'
'-y,x,z'
'-x,-y,z'
'y,-x,z'
'-x,y,z'
'y,x,z'
'x,-y,z'
'-y,-x,z'
loop_
_atom_site_label
_atom_site_fract_x
_atom_site_fract_y
_atom_site_fract_z
Ta1 0.000 0.000 0.000
Ta2 0.500 0.500 0.236
Se1 0.500 0.500 0.834
Cl1 0.000 0.000 0.421

=====

4.
# Ta2SeCl, optimized geometry, DFT PBE-GGA
# Volume ... 75 Å³/f.u.
# Formation energy from raw total energies ... 0.678 eV per atom
# Density ... 10.6 g/cm3
# Uncorrected energy ... -6.581 eV per atom
# M_tot ... 0.000 μB per atom
data_Ta2SeCl
_cell_length_a 6.683
_cell_length_b 6.683
_cell_length_c 6.683
_cell_angle_alpha 90.00
_cell_angle_beta 90.00
_cell_angle_gamma 90.00
_space_group_name_H-M_alt 'F -4 3 m'
_space_group_IT_number 216
_space_group_name_Hall 'F -4 2 3'
loop_
_atom_site_label
_atom_site_fract_x
_atom_site_fract_y
_atom_site_fract_z
Ta1 0.000 0.000 0.000
Ta2 0.250 0.250 0.250
Se1 0.250 0.250 0.750
Cl1 0.000 0.000 0.500

=====

5.
# TaSeCl2, optimized geometry, DFT PBE-GGA
# Volume ... 72 Å³/f.u.
# Formation energy from raw total energies ... 0.365 eV per atom
# Density ... 7.7 g/cm3
# Uncorrected energy ... -4.392 eV per atom
# M_tot ... 0.051 μB per atom
data_TaSeCl2
_cell_length_a 4.217
_cell_length_b 4.217
_cell_length_c 8.057
_cell_angle_alpha 90.00
_cell_angle_beta 90.00
_cell_angle_gamma 90.00
_space_group_name_H-M_alt 'I 4/m m m'
_space_group_IT_number 139
_space_group_name_Hall '-I 4 2'
loop_
_atom_site_label
_atom_site_fract_x
_atom_site_fract_y
_atom_site_fract_z
Ta1 0.000 0.000 0.000
Se1 0.000 0.000 0.500
Cl1 0.000 0.500 0.250

=====

6.
# TaSe2Cl, optimized geometry, DFT PBE-GGA
# Volume ... 111 Å³/f.u.
# Formation energy from raw total energies ... -0.320 eV per atom
# Density ... 5.6 g/cm3
# Uncorrected energy ... -5.487 eV per atom
# M_tot ... 0.000 μB per atom
data_TaSe2Cl
_cell_length_a 3.126
_cell_length_b 5.205
_cell_length_c 13.597
_cell_angle_alpha 90.00
_cell_angle_beta 90.00
_cell_angle_gamma 90.00
_space_group_name_H-M_alt 'I m m m'
_space_group_IT_number 71
_space_group_name_Hall '-I 2 2'
loop_
_atom_site_label
_atom_site_fract_x
_atom_site_fract_y
_atom_site_fract_z
Ta1 0.000 0.000 0.000
Se1 0.000 0.500 0.352
Cl1 0.000 0.000 0.500

=====

7.
# TaSe2Cl, optimized geometry, DFT PBE-GGA
# Volume ... 97 Å³/f.u.
# Formation energy from raw total energies ... -0.138 eV per atom
# Density ... 6.4 g/cm3
# Uncorrected energy ... -5.305 eV per atom
# M_tot ... 0.000 μB per atom
data_TaSe2Cl
_cell_length_a 3.491
_cell_length_b 3.491
_cell_length_c 7.978
_cell_angle_alpha 90.00
_cell_angle_beta 90.00
_cell_angle_gamma 90.00
_space_group_name_H-M_alt 'P 4 m m'
_space_group_IT_number 99
loop_
_space_group_symop_operation_xyz
'x,y,z'
'-y,x,z'
'-x,-y,z'
'y,-x,z'
'-x,y,z'
'y,x,z'
'x,-y,z'
'-y,-x,z'
loop_
_atom_site_label
_atom_site_fract_x
_atom_site_fract_y
_atom_site_fract_z
Ta1 0.000 0.000 0.000
Se1 0.000 0.000 0.684
Se2 0.500 0.500 0.852
Cl1 0.500 0.500 0.225

=====

8.
# TaSe2Cl, optimized geometry, DFT PBE-GGA
# Volume ... 75 Å³/f.u.
# Formation energy from raw total energies ... 0.452 eV per atom
# Density ... 8.3 g/cm3
# Uncorrected energy ... -4.715 eV per atom
# M_tot ... 0.000 μB per atom
data_TaSe2Cl
_cell_length_a 4.839
_cell_length_b 4.839
_cell_length_c 3.198
_cell_angle_alpha 90.00
_cell_angle_beta 90.00
_cell_angle_gamma 90.00
_space_group_name_H-M_alt 'P 4/m m m'
_space_group_IT_number 123
_space_group_name_Hall '-P 4 2'
loop_
_atom_site_label
_atom_site_fract_x
_atom_site_fract_y
_atom_site_fract_z
Ta1 0.000 0.000 0.000
Se1 0.000 0.500 0.500
Cl1 0.500 0.500 0.000

=====

9.
# TaSeCl2, optimized geometry, DFT PBE-GGA
# Volume ... 125 Å³/f.u.
# Formation energy from raw total energies ... -0.927 eV per atom
# Density ... 4.4 g/cm3
# Uncorrected energy ... -5.685 eV per atom
# M_tot ... 0.000 μB per atom
data_TaSeCl2
_cell_length_a 13.062
_cell_length_b 3.172
_cell_length_c 6.890
_cell_angle_alpha 90.00
_cell_angle_beta 119.15
_cell_angle_gamma 90.00
_space_group_name_H-M_alt 'C 1 m 1'
_space_group_IT_number 8
loop_
_space_group_symop_operation_xyz
'x,y,z'
'x,-y,z'
'x+1/2,y+1/2,z'
'x+1/2,-y+1/2,z'
loop_
_atom_site_label
_atom_site_fract_x
_atom_site_fract_y
_atom_site_fract_z
Ta1 0.000 0.000 0.000
Se1 0.351 0.000 0.000
Cl1 0.143 0.500 0.281
Cl2 0.499 0.000 0.719

=====

10.
# TaSeCl2, optimized geometry, DFT PBE-GGA
# Volume ... 100 Å³/f.u.
# Formation energy from raw total energies ... -0.577 eV per atom
# Density ... 5.5 g/cm3
# Uncorrected energy ... -5.335 eV per atom
# M_tot ... 0.250 μB per atom
data_TaSeCl2
_cell_length_a 8.985
_cell_length_b 8.985
_cell_length_c 4.978
_cell_angle_alpha 90.00
_cell_angle_beta 90.00
_cell_angle_gamma 90.00
_space_group_name_H-M_alt 'I -4 2 d'
_space_group_IT_number 122
_space_group_name_Hall 'I -4 2bw'
loop_
_atom_site_label
_atom_site_fract_x
_atom_site_fract_y
_atom_site_fract_z
Ta1 0.000 0.000 0.000
Se1 0.000 0.000 0.500
Cl1 0.111 0.250 0.125

=====

11.
# TaSeCl2, optimized geometry, DFT PBE-GGA
# Volume ... 115 Å³/f.u.
# Formation energy from raw total energies ... -0.885 eV per atom
# Density ... 4.8 g/cm3
# Uncorrected energy ... -5.643 eV per atom
# M_tot ... 0.000 μB per atom
data_TaSeCl2
_cell_length_a 4.973
_cell_length_b 13.807
_cell_length_c 3.355
_cell_angle_alpha 90.00
_cell_angle_beta 90.00
_cell_angle_gamma 90.00
_space_group_name_H-M_alt 'C m m m'
_space_group_IT_number 65
_space_group_name_Hall '-C 2 2'
loop_
_atom_site_label
_atom_site_fract_x
_atom_site_fract_y
_atom_site_fract_z
Ta1 0.000 0.000 0.000
Se1 0.000 0.500 0.000
Cl1 0.000 0.133 0.500

=====

12.
# Ta2SeCl, optimized geometry, DFT PBE-GGA
# Volume ... 74 Å³/f.u.
# Formation energy from raw total energies ... 0.238 eV per atom
# Density ... 10.7 g/cm3
# Uncorrected energy ... -7.021 eV per atom
# M_tot ... 0.000 μB per atom
data_Ta2SeCl
_cell_length_a 2.971
_cell_length_b 4.336
_cell_length_c 5.764
_cell_angle_alpha 90.00
_cell_angle_beta 90.00
_cell_angle_gamma 90.00
_space_group_name_H-M_alt 'P m m m'
_space_group_IT_number 47
loop_
_space_group_symop_operation_xyz
'x,y,z'
'-x,-y,-z'
'-x,-y,z'
'x,y,-z'
'x,-y,-z'
'-x,y,z'
'-x,y,-z'
'x,-y,z'
loop_
_atom_site_label
_atom_site_fract_x
_atom_site_fract_y
_atom_site_fract_z
Ta1 0.000 0.000 0.000
Ta2 0.500 0.000 0.500
Se1 0.000 0.500 0.500
Cl1 0.500 0.500 0.000

=====

- volume of number 1 (Ta2SeCl)?
  88 Å³/f.u.